Sc4ZnAs after structural relaxation. Source: the Alexandria database, functional PBE.

Cell lengths 5.7257, 5.7257, 5.7257 Å; angles 60.00, 60.00, 60.00 degrees
Last column: nearest neighbours and their distance in Å.
Fractional positions:
Sc (0.1249, 0.1249, 0.1249)  6 Sc 2.86
Sc (0.1249, 0.1249, 0.6252)  6 Sc 2.86
Sc (0.1249, 0.6252, 0.1249)  6 Sc 2.86
Sc (0.6252, 0.1249, 0.1249)  6 Sc 2.86
Zn (0.7500, 0.7500, 0.7500)  12 Sc 3.36, 4 As 3.51
As (0.5000, 0.5000, 0.5000)  12 Sc 3.36, 4 Zn 3.51

total moment	0.02	μB per formula unit
total energy	-29.90	eV for the cell shown